# LiNi2Rh

A relaxed structure of LiNi2Rh (PBE, Alexandria).

Properties
Calculated formation energy in kcal/mol of atoms: 1.48
Total energy in eV per atom: -5.143
DOS(E_F) in states/eV per cell: 4.3

```
data_LiNi2Rh
_symmetry_space_group_name_H-M 'P 4 m m'
_symmetry_Int_Tables_number 99
_cell_length_a 2.917
_cell_length_b 2.917
_cell_length_c 5.603
_cell_angle_alpha 90.00
_cell_angle_beta 90.00
_cell_angle_gamma 90.00
loop_
_symmetry_equiv_pos_as_xyz
'x,y,z'
'-y,x,z'
'-x,-y,z'
'y,-x,z'
'-x,y,z'
'y,x,z'
'x,-y,z'
'-y,-x,z'
loop_
_atom_site_label
_atom_site_type_symbol
_atom_site_fract_x
_atom_site_fract_y
_atom_site_fract_z
_atom_site_occupancy
Li1 Li 0.000 0.000 0.000 1
Ni1 Ni 0.000 0.000 0.473 1
Ni2 Ni 0.500 0.500 0.240 1
Rh1 Rh 0.500 0.500 0.735 1
```

---

# Ce2Hg3Ge

A relaxed structure of Ce2Hg3Ge (PBE, Alexandria).

Properties
Calculated formation energy in kcal/mol of atoms: -8.14
Total energy in eV per atom: -3.251
DOS(E_F) in states/eV per cell: 13.6

```
data_Ce2Hg3Ge
_symmetry_space_group_name_H-M 'P m m 2'
_symmetry_Int_Tables_number 25
_cell_length_a 3.446
_cell_length_b 5.018
_cell_length_c 8.557
_cell_angle_alpha 90.00
_cell_angle_beta 90.00
_cell_angle_gamma 90.00
loop_
_symmetry_equiv_pos_as_xyz
'x,y,z'
'-x,-y,z'
'-x,y,z'
'x,-y,z'
loop_
_atom_site_label
_atom_site_type_symbol
_atom_site_fract_x
_atom_site_fract_y
_atom_site_fract_z
_atom_site_occupancy
Ce1 Ce 0.000 0.000 0.000 1
Ce2 Ce 0.000 0.500 0.477 1
Hg1 Hg 0.500 0.000 0.652 1
Hg2 Hg 0.500 0.500 0.153 1
Hg3 Hg 0.500 0.500 0.816 1
Ge1 Ge 0.500 0.000 0.322 1
```

---

# TiNi5Pd2

A relaxed structure of TiNi5Pd2 (PBE, Alexandria).

Properties
Calculated formation energy in kcal/mol of atoms: -4.78
Total energy in eV per atom: -6.106
DOS(E_F) in states/eV per cell: 24.3

```
data_TiNi5Pd2
_symmetry_space_group_name_H-M 'P b a m'
_symmetry_Int_Tables_number 55
_cell_length_a 5.215
_cell_length_b 10.440
_cell_length_c 3.691
_cell_angle_alpha 90.00
_cell_angle_beta 90.00
_cell_angle_gamma 90.00
loop_
_symmetry_equiv_pos_as_xyz
'x,y,z'
'-x,-y,-z'
'-x,-y,z'
'x,y,-z'
'x+1/2,-y+1/2,-z'
'-x+1/2,y+1/2,z'
'-x+1/2,y+1/2,-z'
'x+1/2,-y+1/2,z'
loop_
_atom_site_label
_atom_site_type_symbol
_atom_site_fract_x
_atom_site_fract_y
_atom_site_fract_z
_atom_site_occupancy
Ti1 Ti 0.000 0.000 0.000 1
Ni1 Ni 0.000 0.500 0.000 1
Ni2 Ni 0.002 0.247 0.000 1
Ni3 Ni 0.247 0.627 0.500 1
Pd1 Pd 0.247 0.375 0.500 1
```

---

# CrSeBr2

A relaxed structure of CrSeBr2 (PBE, Alexandria).

Properties
Relative energy among the computed polymorphs in eV per formula unit: 3.470
Total energy in eV per atom: -3.659
Formation energy without anion corrections in eV per atom: 0.4548
DOS(E_F) in states/eV per cell: 16.9

```
data_CrSeBr2
_symmetry_space_group_name_H-M 'F -4 3 m'
_symmetry_Int_Tables_number 216
_symmetry_space_group_name_Hall 'F -4 2 3'
_cell_length_a 7.069
_cell_length_b 7.069
_cell_length_c 7.069
_cell_angle_alpha 90.00
_cell_angle_beta 90.00
_cell_angle_gamma 90.00
loop_
_atom_site_label
_atom_site_type_symbol
_atom_site_fract_x
_atom_site_fract_y
_atom_site_fract_z
_atom_site_occupancy
Cr1 Cr 0.000 0.000 0.000 1
Se1 Se 0.250 0.250 0.250 1
Br1 Br 0.000 0.000 0.500 1
Br2 Br 0.250 0.250 0.750 1
```

---

What is the total energy in the second record?
-3.251 eV per atom

---

Repeat the first record exactly.
# LiNi2Rh

A relaxed structure of LiNi2Rh (PBE, Alexandria).

Properties
Calculated formation energy in kcal/mol of atoms: 1.48
Total energy in eV per atom: -5.143
DOS(E_F) in states/eV per cell: 4.3

```
data_LiNi2Rh
_symmetry_space_group_name_H-M 'P 4 m m'
_symmetry_Int_Tables_number 99
_cell_length_a 2.917
_cell_length_b 2.917
_cell_length_c 5.603
_cell_angle_alpha 90.00
_cell_angle_beta 90.00
_cell_angle_gamma 90.00
loop_
_symmetry_equiv_pos_as_xyz
'x,y,z'
'-y,x,z'
'-x,-y,z'
'y,-x,z'
'-x,y,z'
'y,x,z'
'x,-y,z'
'-y,-x,z'
loop_
_atom_site_label
_atom_site_type_symbol
_atom_site_fract_x
_atom_site_fract_y
_atom_site_fract_z
_atom_site_occupancy
Li1 Li 0.000 0.000 0.000 1
Ni1 Ni 0.000 0.000 0.473 1
Ni2 Ni 0.500 0.500 0.240 1
Rh1 Rh 0.500 0.500 0.735 1
```

---

Which formula does entry 2 have?
Ce2Hg3Ge